Record 1
# B5C7 PBE optimized geometry
# ΔE_f ... 342 meV per atom
# N(E_F) ... 0.22 states/eV/atom
data_B5C7
_symmetry_space_group_name_H-M 'C 1 2 1'
_symmetry_Int_Tables_number 5
_symmetry_space_group_name_Hall 'C 2y'
_cell_length_a 3.692
_cell_length_b 11.604
_cell_length_c 3.731
_cell_angle_alpha 90.00
_cell_angle_beta 92.78
_cell_angle_gamma 90.00
loop_
_atom_site_label
_atom_site_type_symbol
_atom_site_fract_x
_atom_site_fract_y
_atom_site_fract_z
B1 B 0.000 0.000 0.000
B2 B 0.000 0.145 0.500
B3 B 0.000 0.504 0.500
B4 B 0.231 0.882 0.228
C1 C 0.000 0.304 0.000
C2 C 0.000 0.651 0.000
C3 C 0.000 0.804 0.500
C4 C 0.238 0.575 0.235
C5 C 0.238 0.733 0.763


Record 2
# SrTaBr PBE optimized geometry
# Uncorrected formation energy ... -0.505 eV/atom
# N(E_F) ... 0.48 states/eV/atom
data_SrTaBr
_symmetry_space_group_name_H-M 'I m m m'
_symmetry_Int_Tables_number 71
_symmetry_space_group_name_Hall '-I 2 2'
_cell_length_a 3.575
_cell_length_b 4.072
_cell_length_c 25.553
_cell_angle_alpha 90.00
_cell_angle_beta 90.00
_cell_angle_gamma 90.00
loop_
_atom_site_label
_atom_site_type_symbol
_atom_site_fract_x
_atom_site_fract_y
_atom_site_fract_z
Sr1 Sr 0.000 0.000 0.122
Ta1 Ta 0.000 0.500 0.000
Ta2 Ta 0.000 0.500 0.500
Br1 Br 0.000 0.000 0.317


Record 3
# SmTm2Ru PBE optimized geometry
# ΔE_f ... -326 meV per atom
# N(E_F) ... 0.85 states/eV/atom
data_SmTm2Ru
_symmetry_space_group_name_H-M 'P n m a'
_symmetry_Int_Tables_number 62
_symmetry_space_group_name_Hall '-P 2ac 2n'
_cell_length_a 7.306
_cell_length_b 9.086
_cell_length_c 6.322
_cell_angle_alpha 90.00
_cell_angle_beta 90.00
_cell_angle_gamma 90.00
loop_
_atom_site_label
_atom_site_type_symbol
_atom_site_fract_x
_atom_site_fract_y
_atom_site_fract_z
Sm1 Sm 0.040 0.250 0.129
Tm1 Tm 0.176 0.065 0.666
Ru1 Ru 0.115 0.750 0.452


Record 4
# PmZn11Ge PBE optimized geometry
# ΔE_f ... -133 meV per atom
# N(E_F) ... 0.35 states/eV/atom
data_PmZn11Ge
_symmetry_space_group_name_H-M 'C 1 2/m 1'
_symmetry_Int_Tables_number 12
_symmetry_space_group_name_Hall '-C 2y'
_cell_length_a 5.315
_cell_length_b 12.782
_cell_length_c 6.785
_cell_angle_alpha 90.00
_cell_angle_beta 112.16
_cell_angle_gamma 90.00
loop_
_atom_site_label
_atom_site_type_symbol
_atom_site_fract_x
_atom_site_fract_y
_atom_site_fract_z
Pm1 Pm 0.000 0.000 0.000
Zn1 Zn 0.000 0.500 0.500
Zn2 Zn 0.096 0.391 0.213
Zn3 Zn 0.187 0.181 0.353
Zn4 Zn 0.250 0.250 0.000
Ge1 Ge 0.000 0.000 0.500


Record 5
# PmIn2Bi PBE optimized geometry
# ΔE_f ... -440 meV per atom
# N(E_F) ... 0.37 states/eV/atom
data_PmIn2Bi
_symmetry_space_group_name_H-M 'P 4/m m m'
_symmetry_Int_Tables_number 123
_symmetry_space_group_name_Hall '-P 4 2'
_cell_length_a 4.844
_cell_length_b 4.844
_cell_length_c 4.770
_cell_angle_alpha 90.00
_cell_angle_beta 90.00
_cell_angle_gamma 90.00
loop_
_atom_site_label
_atom_site_type_symbol
_atom_site_fract_x
_atom_site_fract_y
_atom_site_fract_z
Pm1 Pm 0.000 0.000 0.000
In1 In 0.000 0.500 0.500
Bi1 Bi 0.500 0.500 0.000


Record 6
# Sc8Ir2Pd PBE optimized geometry
# ΔE_f ... -517 meV per atom
# N(E_F) ... 1.23 states/eV/atom
data_Sc8Ir2Pd
_symmetry_space_group_name_H-M 'C 1 m 1'
_symmetry_Int_Tables_number 8
_symmetry_space_group_name_Hall 'C -2y'
_cell_length_a 8.011
_cell_length_b 11.999
_cell_length_c 5.147
_cell_angle_alpha 90.00
_cell_angle_beta 106.68
_cell_angle_gamma 90.00
loop_
_atom_site_label
_atom_site_type_symbol
_atom_site_fract_x
_atom_site_fract_y
_atom_site_fract_z
Sc1 Sc 0.000 0.000 0.000
Sc2 Sc 0.071 0.373 0.781
Sc3 Sc 0.169 0.127 0.592
Sc4 Sc 0.241 0.500 0.373
Sc5 Sc 0.370 0.228 0.187
Ir1 Ir 0.370 0.311 0.687
Pd1 Pd 0.371 0.000 0.185


Record 7
# TaPd2Pt3 PBE optimized geometry
# ΔE_f ... -324 meV per atom
# N(E_F) ... 0.77 states/eV/atom
data_TaPd2Pt3
_symmetry_space_group_name_H-M 'C m c m'
_symmetry_Int_Tables_number 63
_symmetry_space_group_name_Hall '-C 2c 2'
_cell_length_a 5.537
_cell_length_b 13.784
_cell_length_c 5.083
_cell_angle_alpha 90.00
_cell_angle_beta 90.00
_cell_angle_gamma 90.00
loop_
_atom_site_label
_atom_site_type_symbol
_atom_site_fract_x
_atom_site_fract_y
_atom_site_fract_z
Ta1 Ta 0.000 0.152 0.250
Pd1 Pd 0.247 0.000 0.000
Pt1 Pt 0.000 0.350 0.750
Pt2 Pt 0.247 0.179 0.750


Record 8
# Al2Pt2Au PBE optimized geometry
# ΔE_f ... -477 meV per atom
# N(E_F) ... 0.25 states/eV/atom
data_Al2Pt2Au
_symmetry_space_group_name_H-M 'I 4/m m m'
_symmetry_Int_Tables_number 139
_symmetry_space_group_name_Hall '-I 4 2'
_cell_length_a 3.883
_cell_length_b 3.883
_cell_length_c 11.549
_cell_angle_alpha 90.00
_cell_angle_beta 90.00
_cell_angle_gamma 90.00
loop_
_atom_site_label
_atom_site_type_symbol
_atom_site_fract_x
_atom_site_fract_y
_atom_site_fract_z
Al1 Al 0.000 0.000 0.111
Pt1 Pt 0.000 0.500 0.250
Au1 Au 0.000 0.000 0.500


Total DFT energy (no corrections) values (in Ha/atom) by entry order: -0.28740; -0.20483; -0.22271; -0.07098; -0.14580; -0.26477; -0.25912; -0.18542.